VASP calculation (GGA+U) on LaTbCr2O8 after structural relaxation.

abc: 7.3696 7.3696 6.4250
angles: 90.00 90.00 90.00
Space group I-4m2 (No. 119)
One atom of each set of equivalent atoms:
La 0.0000 0.0000 0.0000
Tb 0.0000 0.5000 0.2500
Cr 0.0000 0.0000 0.5000
Cr 0.0000 0.5000 0.7500
O 0.0000 0.1849 0.3344
O 0.0000 0.3247 0.9277

## Properties
Spin magnetization   4.00 Bohr magnetons per cell
Electronic total energy   -7.6791 eV per atom


VASP calculation (GGA+U) on LaCrTc2O after structural relaxation.

abc: 4.7950 4.7950 3.7190
angles: 90.00 90.00 90.00
Space group P4/mmm (No. 123)
One atom of each set of equivalent atoms:
La 0.0000 0.0000 0.0000
Cr 0.5000 0.5000 0.5000
Tc 0.0000 0.5000 0.5000
O 0.5000 0.5000 0.0000

## Properties
Spin magnetization   0.00 Bohr magnetons per cell
Electronic total energy   -6.8952 eV per atom
DOS(E_F)   5.9 states/eV per cell


VASP calculation (GGA+U) on LaCrTeO2 after structural relaxation.

abc: 5.6068 14.2661 5.6154
angles: 90.00 90.00 90.00
Space group Cmcm (No. 63)
One atom of each set of equivalent atoms:
La 0.0000 0.0900 0.2500
Cr 0.0000 0.4711 0.2500
Te 0.0000 0.2510 0.7500
O 0.2494 0.5000 0.0000

## Properties
Spin magnetization   15.58 Bohr magnetons per cell
Electronic total energy   -7.1115 eV per atom
DOS(E_F)   13.6 states/eV per cell


VASP calculation (GGA+U) on LaCrTeO6 after structural relaxation.

abc: 4.7425 6.2068 6.3477
angles: 96.88 111.14 105.23
Space group P1 (No. 1)
One atom of each set of equivalent atoms:
La 0.0000 0.0000 0.0000
Cr 0.9415 0.1282 0.4971
Te 0.7146 0.5370 0.3188
O 0.9997 0.2840 0.7561
O 0.2407 0.2109 0.3913
O 0.5613 0.1562 0.0391
O 0.5886 0.9919 0.1913
O 0.8746 0.8319 0.5636
O 0.9248 0.6598 0.1387

## Properties
Spin magnetization   0.98 Bohr magnetons per cell
Energy above the lowest structure with this stoichiometry   0.605 eV/atom
Electronic total energy   -6.5251 eV per atom
DOS(E_F)   0.1 states/eV per cell


Q: spin magnetization of number 4 (LaCrTeO6)?
A: 0.98 Bohr magnetons per cell


Q: Look up the spin magnetization of the second one.
A: 0.00 Bohr magnetons per cell


What did the first record say?
VASP calculation (GGA+U) on LaTbCr2O8 after structural relaxation.

abc: 7.3696 7.3696 6.4250
angles: 90.00 90.00 90.00
Space group I-4m2 (No. 119)
One atom of each set of equivalent atoms:
La 0.0000 0.0000 0.0000
Tb 0.0000 0.5000 0.2500
Cr 0.0000 0.0000 0.5000
Cr 0.0000 0.5000 0.7500
O 0.0000 0.1849 0.3344
O 0.0000 0.3247 0.9277

## Properties
Spin magnetization   4.00 Bohr magnetons per cell
Electronic total energy   -7.6791 eV per atom


Q: Among the records above, which one has the lowest spin magnetization?
A: LaCrTc2O